1.
The following is a PBE calculation of a relaxed structure of Cs2CuPtI6, from the Alexandria database.

As for the energy above the most stable polymorph in this dataset: 0 meV/atom.

Lattice parameters (Å, degrees): 8.329 8.329 8.091 59.03 59.03 90.00
Positions (direct):
Pt 0.000 0.000 0.000
Cs 0.250 0.750 0.500
Cs 0.750 0.250 0.500
I 0.732 0.732 0.536
I 0.268 0.268 0.464
I 0.231 0.231 0.000
I 0.769 0.231 0.000
I 0.231 0.769 0.000
I 0.769 0.769 0.000
Cu 0.500 0.500 0.000

2.
The following is a PBE calculation of a relaxed structure of NaLaZn2Ge2, from the Alexandria database.

Its formation enthalpy at 0 K is -0.430 eV per atom.

Lattice parameters (Å, degrees): 4.380 4.380 7.849 90.00 90.00 120.00
Positions (direct):
Zn 0.333 0.667 0.724
Zn 0.667 0.333 0.276
Na 0.000 0.000 0.500
La 0.000 0.000 0.000
Ge 0.333 0.667 0.243
Ge 0.667 0.333 0.757

3.
The following is a PBE calculation of a relaxed structure of SrGeTe2I, from the Alexandria database.

As for the energy above the most stable polymorph in this dataset: 741 meV/atom.

Lattice parameters (Å, degrees): 6.218 6.218 6.094 90.00 90.00 90.00
Positions (direct):
Sr 0.000 0.000 0.000
Ge 0.500 0.500 0.500
Te 0.500 0.000 0.000
Te 0.000 0.500 0.000
I 0.000 0.000 0.500

4.
The following is a PBE calculation of a relaxed structure of KNaZn4, from the Alexandria database.

Its formation enthalpy at 0 K is 0.042 eV per atom.

Lattice parameters (Å, degrees): 5.702 5.702 5.702 60.00 60.00 60.00
Positions (direct):
K 0.250 0.250 0.250
Zn 0.627 0.118 0.627
Zn 0.118 0.627 0.627
Zn 0.627 0.627 0.118
Zn 0.627 0.627 0.627
Na 0.000 0.000 0.000

5.
The following is a PBE calculation of a relaxed structure of LaLuGaPb, from the Alexandria database.

Its formation enthalpy at 0 K is -0.441 eV per atom.

Lattice parameters (Å, degrees): 5.365 5.365 5.365 60.00 60.00 60.00
Positions (direct):
Ga 0.250 0.250 0.250
Pb 0.750 0.750 0.750
Lu 0.500 0.500 0.500
La 0.000 0.000 0.000

6.
The following is a PBE calculation of a relaxed structure of Tl5Sn2Pb12, from the Alexandria database.

Its formation enthalpy at 0 K is 0.038 eV per atom.

Lattice parameters (Å, degrees): 6.165 10.337 10.337 69.02 79.56 79.56
Positions (direct):
Pb 0.804 0.446 0.943
Pb 0.977 0.102 0.102
Pb 0.388 0.846 0.353
Pb 0.023 0.898 0.898
Pb 0.713 0.555 0.555
Pb 0.196 0.554 0.057
Pb 0.388 0.353 0.846
Pb 0.196 0.057 0.554
Pb 0.612 0.154 0.647
Pb 0.804 0.943 0.446
Pb 0.612 0.647 0.154
Pb 0.287 0.445 0.445
Tl 0.571 0.784 0.784
Tl 0.429 0.216 0.216
Tl 0.500 0.000 0.000
Tl 0.134 0.673 0.673
Tl 0.866 0.327 0.327
Sn 0.000 0.745 0.255
Sn 0.000 0.255 0.745

7.
The following is a PBE calculation of a relaxed structure of MgTl6Pb3, from the Alexandria database.

As for the energy above the most stable polymorph in this dataset: 0 meV/atom. Its formation enthalpy at 0 K is 0.012 eV per atom.

Lattice parameters (Å, degrees): 5.661 9.092 12.232 107.40 90.00 90.00
Positions (direct):
Tl 0.750 0.593 0.071
Tl 0.250 0.007 0.836
Tl 0.750 0.204 0.469
Tl 0.250 0.212 0.137
Tl 0.750 0.988 0.665
Tl 0.250 0.597 0.719
Tl 0.750 0.403 0.281
Tl 0.250 0.012 0.335
Tl 0.750 0.993 0.164
Tl 0.250 0.407 0.929
Tl 0.750 0.788 0.863
Tl 0.250 0.796 0.531
Pb 0.750 0.200 0.969
Pb 0.750 0.794 0.371
Pb 0.250 0.206 0.629
Pb 0.250 0.613 0.241
Pb 0.750 0.387 0.759
Pb 0.250 0.800 0.031
Mg 0.250 0.405 0.435
Mg 0.750 0.595 0.565

8.
The following is a PBE calculation of a relaxed structure of HfTlOF2, from the Alexandria database.

As for the energy above the most stable polymorph in this dataset: 0 meV/atom.

Lattice parameters (Å, degrees): 4.435 4.435 4.070 90.00 90.00 90.00
Positions (direct):
O 0.000 0.000 0.500
Tl 0.500 0.500 0.500
Hf 0.000 0.000 0.000
F 0.000 0.500 0.000
F 0.500 0.000 0.000

9.
The following is a PBE calculation of a relaxed structure of Al2Cu2Ru, from the Alexandria database.

As for the energy above the most stable polymorph in this dataset: 0 meV/atom. Its formation enthalpy at 0 K is -0.153 eV per atom.

Lattice parameters (Å, degrees): 6.922 6.922 2.792 90.00 90.00 90.00
Positions (direct):
Ru 0.500 0.500 0.000
Ru 0.000 0.000 0.000
Al 0.322 0.178 0.500
Al 0.178 0.678 0.500
Al 0.678 0.822 0.500
Al 0.822 0.322 0.500
Cu 0.378 0.878 0.000
Cu 0.878 0.622 0.000
Cu 0.122 0.378 0.000
Cu 0.622 0.122 0.000

10.
The following is a PBE calculation of a relaxed structure of TaZn2InSb, from the Alexandria database.

Lattice parameters (Å, degrees): 4.817 5.535 4.817 90.00 90.00 90.00
Positions (direct):
Ta 0.000 0.500 0.000
Zn 0.000 0.000 0.500
Zn 0.500 0.000 0.000
In 0.000 0.000 0.000
Sb 0.500 0.500 0.500

no.,mass density (g/cm³),DFT total energy (eV/atom),D(E_F) (states/eV per cell)
1,5.55,-2.7761,3.75
2,5.58,-3.4348,1.23
3,3.82,-2.6262,7.37
4,4.10,-1.2102,2.13
5,8.99,-4.4869,2.56
6,10.37,-3.3478,8.52
7,10.35,-2.6801,6.51
8,9.06,-6.6647,2.50
9,7.00,-5.1433,3.92
10,7.09,-3.1638,4.94